Computed, not measured: crystalline Sr6Hg5N at its relaxed geometry at the GGA-PBE level of DFT.

## Properties
- ρ: 7.076 g/cm³
- Calculated total energy: -2.012 eV per atom

The structure in CIF format:
```
data_Sr6Hg5N
_cell_length_a 9.092
_cell_length_b 16.010
_cell_length_c 5.836
_cell_angle_alpha 90.00
_cell_angle_beta 121.55
_cell_angle_gamma 90.00
_symmetry_space_group_name_H-M 'C 1 2/m 1'
_symmetry_Int_Tables_number 12
_symmetry_space_group_name_Hall '-C 2y'
loop_
_atom_site_label
_atom_site_type_symbol
_atom_site_fract_x
_atom_site_fract_y
_atom_site_fract_z
Sr1 Sr 0.211 0.000 0.298
Sr2 Sr 0.223 0.147 0.744
Hg1 Hg 0.000 0.192 0.000
Hg2 Hg 0.000 0.332 0.500
Hg3 Hg 0.000 0.500 0.000
N1 N 0.000 0.000 0.500
```